# 1
A relaxed structure of MgU2Ga6. Source: Alexandria, functional PBE.

For the total DFT energy (no corrections), the calculation gives -44.04 eV for the cell shown. The value obtained for the density is 9.09 g cm⁻³. The value obtained for the total magnetization is 0.50 μB/atom.

The space group is P6/mmm (No. 191) and the conventional cell measures 8.2037, 8.2037 and 2.8799 Å, with angles of 90.00, 90.00 and 120.00 degrees. The inequivalent atoms are Mg at (0.0000, 0.0000, 0.0000), U at (0.3333, 0.6667, 0.0000) and Ga at (0.0000, 0.3266, 0.5000).

# 2
A relaxed structure of YMg2ReN4. Source: Alexandria, functional PBE.

The formation energy without anion corrections is -13.57 kcal/mol of atoms. The value obtained for the density is 6.15 g cm⁻³. The value obtained for the total magnetization is 0.00 μB/atom.

The space group is Cmcm (No. 63) and the conventional cell measures 3.250, 11.343 and 11.133 Å, with angles of 90.00, 90.00 and 90.00 degrees. The inequivalent atoms are Y at (0.000, 0.084, 0.250), Mg at (0.000, 0.384, 0.027), Re at (0.000, 0.175, 0.750), N at (0.000, 0.000, 0.000), N at (0.000, 0.272, 0.620) and N at (0.000, 0.431, 0.250).

# 3
A relaxed structure of BaTaCo2. Source: Alexandria, functional PBE.

For the total DFT energy (no corrections), the calculation gives -53.39 eV for the cell shown. The value obtained for the density is 8.07 g cm⁻³. The value obtained for the total magnetization is 0.00 μB/atom.

The space group is C2/m (No. 12) and the conventional cell measures 7.230, 4.184 and 6.400 Å, with angles of 90.00, 112.05 and 90.00 degrees. The inequivalent atoms are Ba at (0.000, 0.000, 0.000), Ta at (0.000, 0.500, 0.500) and Co at (0.195, 0.000, 0.586).

# 4
A relaxed structure of Ba2ZrAs. Source: Alexandria, functional PBE.

For the total DFT energy (no corrections), the calculation gives -32.73 eV for the cell shown. The value obtained for the density is 5.75 g cm⁻³. The value obtained for the total magnetization is 0.55 μB/atom.

The space group is Immm (No. 71) and the conventional cell measures 4.880, 4.906 and 10.639 Å, with angles of 90.00, 90.00 and 90.00 degrees. The inequivalent atoms are Ba at (0.000, 0.000, 0.249), Zr at (0.000, 0.500, 0.000) and As at (0.000, 0.500, 0.500).

# 5
A relaxed structure of YSbAs2. Source: Alexandria, functional PBE.

The formation energy without anion corrections is -15.68 kcal/mol of atoms. The value obtained for the density is 6.16 g cm⁻³. The value obtained for the total magnetization is 0.00 μB/atom.

The space group is Cm (No. 8) and the conventional cell measures 11.333, 4.009 and 4.276 Å, with angles of 90.00, 91.47 and 90.00 degrees. The inequivalent atoms are Y at (0.000, 0.000, 0.000), Sb at (0.276, 0.500, 0.488), As at (0.045, 0.500, 0.504) and As at (0.284, 0.000, 0.039).

# 6
A relaxed structure of TaMoRu2. Source: Alexandria, functional PBE.

For the total DFT energy (no corrections), the calculation gives -82.19 eV for the cell shown. The value obtained for the density is 12.83 g cm⁻³. The value obtained for the total magnetization is 0.00 μB/atom.

The space group is C2/m (No. 12) and the conventional cell measures 9.152, 2.840 and 4.865 Å, with angles of 90.00, 101.21 and 90.00 degrees. The inequivalent atoms are Ta at (0.000, 0.000, 0.000), Mo at (0.000, 0.500, 0.500) and Ru at (0.248, 0.000, 0.738).

# 7
A relaxed structure of KHg2W. Source: Alexandria, functional PBE.

For the total DFT energy (no corrections), the calculation gives -22.81 eV for the cell shown. The value obtained for the density is 11.47 g cm⁻³. The value obtained for the total magnetization is 0.20 μB/atom.

The space group is Cm (No. 8) and the conventional cell measures 11.443, 2.900 and 5.448 Å, with angles of 90.00, 91.32 and 90.00 degrees. The inequivalent atoms are K at (0.000, 0.000, 0.000), Hg at (0.023, 0.500, 0.502), Hg at (0.247, 0.500, 0.007) and W at (0.260, 0.000, 0.506).

# 8
A relaxed structure of AgSnB. Source: Alexandria, functional PBE.

For the total DFT energy (no corrections), the calculation gives -22.97 eV for the cell shown. The value obtained for the density is 7.76 g cm⁻³. The value obtained for the total magnetization is 0.00 μB/atom.

The space group is P4/nmm (No. 129, origin choice 2) and the conventional cell measures 3.122, 3.122 and 10.425 Å, with angles of 90.00, 90.00 and 90.00 degrees. The inequivalent atoms are Ag at (0.250, 0.250, 0.092), Sn at (0.250, 0.250, 0.688) and B at (0.250, 0.750, 0.500).

Copy entry 2 word for word.
A relaxed structure of YMg2ReN4. Source: Alexandria, functional PBE.

The formation energy without anion corrections is -13.57 kcal/mol of atoms. The value obtained for the density is 6.15 g cm⁻³. The value obtained for the total magnetization is 0.00 μB/atom.

The space group is Cmcm (No. 63) and the conventional cell measures 3.250, 11.343 and 11.133 Å, with angles of 90.00, 90.00 and 90.00 degrees. The inequivalent atoms are Y at (0.000, 0.084, 0.250), Mg at (0.000, 0.384, 0.027), Re at (0.000, 0.175, 0.750), N at (0.000, 0.000, 0.000), N at (0.000, 0.272, 0.620) and N at (0.000, 0.431, 0.250).